## La2YTlPt (PBE)

Data for an optimized crystal structure of La2YTlPt.

```
La2YTlPt
1.0
-2.916 1.429 4.559
-3.131 -4.606 -0.559
3.597 -2.832 3.188
Y La Pt Tl
1 2 1 1
direct
0.000 0.000 0.500
0.500 0.000 0.000
0.000 0.500 0.000
0.000 0.000 0.000
0.500 0.500 0.500
```

Values from the calculation:
Total magnetization (μB per atom): 0.00
Energy (eV/atom): -5.40
Energy of formation from the pure elements (meV/atom): -458


## La2TlZnPt (PBE)

Data for an optimized crystal structure of La2TlZnPt.

```
La2TlZnPt
1.0
4.675 0.000 0.000
0.000 7.476 0.341
0.000 -2.797 7.446
La Tl Pt Zn
4 2 2 2
direct
0.250 0.294 0.952
0.250 0.141 0.337
0.750 0.859 0.663
0.750 0.706 0.048
0.750 0.323 0.650
0.250 0.677 0.350
0.250 0.883 0.920
0.750 0.117 0.080
0.250 0.554 0.676
0.750 0.446 0.324
```

Values from the calculation:
Total magnetization (μB per atom): 0.00
Energy (eV/atom): -4.59
Energy of formation from the pure elements (meV/atom): -682